Material: TaTc2Te
Method: DFT, GGA-PBEsol
State: optimized geometry

Final energy (eV per atom): -9.68
Density (g/cm³): 12.72
Space-group type: P4/mmm (123)

a = 3.2057 Å, b = 3.2057 Å, c = 6.4114 Å
α = 90.00°, β = 90.00°, γ = 90.00°
With the nearest neighbours (Å) after each atom.
Positions (direct):
Ta1 0.5000 0.5000 0.5000  8 Tc 2.74
Tc1 0.0000 0.0000 0.7402  4 Ta 2.74, 4 Te 2.81
Tc2 0.0000 0.0000 0.2598  4 Ta 2.74, 4 Te 2.81
Te1 0.5000 0.5000 0.0000  8 Tc 2.81

---

Material: KZnFe
Method: DFT, GGA-PBEsol
State: optimized geometry

Offset from the most stable computed form (meV/atom): 776
Energy relative to the elements (kJ/mol of atoms): 157.02
Final energy (eV per atom): -2.27
Density (g/cm³): 2.91
Space-group type: F-43m (216)

a = 5.0589 Å, b = 5.0589 Å, c = 5.0589 Å
α = 60.00°, β = 60.00°, γ = 60.00°
With the nearest neighbours (Å) after each atom.
Positions (direct):
Fe1 0.5000 0.5000 0.5000  4 K 3.10
K1 0.2500 0.2500 0.2500  4 Fe 3.10, 4 Zn 3.10
Zn1 0.0000 0.0000 0.0000  4 K 3.10

---

Material: Li2InRh
Method: DFT, GGA-PBEsol
State: optimized geometry

Energy relative to the elements (kJ/mol of atoms): -28.13
Final energy (eV per atom): -4.06
Density (g/cm³): 6.39
Space-group type: I4/mmm (139)

a = 3.8272 Å, b = 3.8272 Å, c = 4.9226 Å
α = 112.88°, β = 112.88°, γ = 90.00°
With the nearest neighbours (Å) after each atom.
Positions (direct):
In1 0.0000 0.0000 0.0000  4 Rh 2.71, 8 Li 2.81
Rh1 0.5000 0.5000 0.0000  4 In 2.71, 8 Li 2.81
Li1 0.7500 0.2500 0.5000  4 Li 2.71, 4 In 2.81, 4 Rh 2.81
Li2 0.2500 0.7500 0.5000  4 Li 2.71, 4 In 2.81, 4 Rh 2.81

---

Material: Bi2AsOs2
Method: DFT, GGA-PBEsol
State: optimized geometry

Energy relative to the elements (kJ/mol of atoms): 68.79
Final energy (eV per atom): -6.91
Density (g/cm³): 13.27
Space-group type: I4/mmm (139)

a = 3.6041 Å, b = 3.6041 Å, c = 8.7914 Å
α = 101.83°, β = 101.83°, γ = 90.00°
With the nearest neighbours (Å) after each atom.
Positions (direct):
As1 0.0000 0.0000 0.0000  8 Bi 3.16
Os1 0.2500 0.7500 0.5000  4 Os 2.55
Os2 0.7500 0.2500 0.5000  4 Os 2.55
Bi1 0.3889 0.3889 0.7778  4 Os 2.95, 4 As 3.16
Bi2 0.6111 0.6111 0.2222  4 Os 2.95, 4 As 3.16